[1]
Here is a relaxed structure of TaCuNi6 from the Alexandria database. Energies are from PBE-GGA.

Lattice parameters (Å, degrees): 7.200 10.226 10.223 90.00 90.00 90.00
Space group Cmmm (No. 65)
Inequivalent atoms, fractional coordinates:
Ta 0.000 0.000 0.245 x4
Ta 0.000 0.245 0.500 x4
Cu 0.000 0.246 0.000 x4
Cu 0.000 0.500 0.246 x4
Ni 0.000 0.000 0.000 x2
Ni 0.000 0.000 0.500 x2
Ni 0.000 0.250 0.247 x8
Ni 0.000 0.500 0.000 x2
Ni 0.000 0.500 0.500 x2
Ni 0.246 0.374 0.123 x16
Ni 0.246 0.376 0.373 x16

- Energy relative to the elements: -1.36 eV/f.u.
- Total magnetic moment: 7.734 μB per cell
- Relative energy among the computed polymorphs: 0.000 eV per atom
- Fermi-level density of states: 1.19 states/eV/atom



[2]
Here is a relaxed structure of Ta2CuNi2 from the Alexandria database. Energies are from PBE-GGA.

Lattice parameters (Å, degrees): 7.454 7.454 2.702 90.00 90.00 90.00
Space group P4/mbm (No. 127)
Inequivalent atoms, fractional coordinates:
Ta 0.165 0.335 0.000 x4
Cu 0.000 0.000 0.000 x2
Ni 0.128 0.628 0.500 x4

- Energy relative to the elements: 0.84 eV/f.u.
- Total magnetic moment: 0.000 μB per cell
- Relative energy among the computed polymorphs: 0.259 eV per atom
- Fermi-level density of states: 0.65 states/eV/atom



[3]
Here is a relaxed structure of TaCu2Ni from the Alexandria database. Energies are from PBE-GGA.

Lattice parameters (Å, degrees): 2.845 2.845 6.524 90.00 90.00 90.00
Space group P4/mmm (No. 123)
Inequivalent atoms, fractional coordinates:
Ta 0.000 0.000 0.000 x1
Cu 0.500 0.500 0.284 x2
Ni 0.000 0.000 0.500 x1

- Energy relative to the elements: 0.29 eV/f.u.
- Total magnetic moment: 0.000 μB per cell
- Fermi-level density of states: 0.57 states/eV/atom



[4]
Here is a relaxed structure of TaCuNi6 from the Alexandria database. Energies are from PBE-GGA.

Lattice parameters (Å, degrees): 5.1402 5.1402 4.1160 90.00 90.00 120.00
Space group P-6m2 (No. 187)
Inequivalent atoms, fractional coordinates:
Ta 0.0000 0.0000 0.0000 x1
Cu 0.6667 0.3333 0.5000 x1
Ni 0.9995 0.4998 0.0000 x3
Ni 0.1722 0.3443 0.5000 x3

- Energy relative to the elements: -1.15 eV/f.u.
- Total magnetic moment: 0.001 μB per cell
- Relative energy among the computed polymorphs: 0.025 eV per atom
- Fermi-level density of states: 1.18 states/eV/atom



[5]
Here is a relaxed structure of TaCuNi14 from the Alexandria database. Energies are from PBE-GGA.

Lattice parameters (Å, degrees): 5.055 5.055 7.104 90.00 90.00 90.00
Space group P4/mmm (No. 123)
Inequivalent atoms, fractional coordinates:
Ta 0.000 0.000 0.000 x1
Cu 0.500 0.500 0.000 x1
Ni 0.000 0.000 0.500 x1
Ni 0.000 0.500 0.000 x2
Ni 0.000 0.500 0.500 x2
Ni 0.252 0.252 0.256 x8
Ni 0.500 0.500 0.500 x1

- Energy relative to the elements: -0.82 eV/f.u.
- Total magnetic moment: 6.359 μB per cell
- Fermi-level density of states: 1.68 states/eV/atom



[6]
Here is a relaxed structure of TaCuNi from the Alexandria database. Energies are from PBE-GGA.

Lattice parameters (Å, degrees): 2.7827 2.7827 6.3499 90.00 90.00 120.00
Space group P3m1 (No. 156)
Inequivalent atoms, fractional coordinates:
Ta 0.0000 0.0000 0.0000 x1
Cu 0.6667 0.3333 0.3574 x1
Ni 0.3333 0.6667 0.6681 x1

- Energy relative to the elements: 0.46 eV/f.u.
- Total magnetic moment: 0.000 μB per cell
- Relative energy among the computed polymorphs: 0.268 eV per atom
- Fermi-level density of states: 0.93 states/eV/atom



[7]
Here is a relaxed structure of TaCu2Ni from the Alexandria database. Energies are from PBE-GGA.

Lattice parameters (Å, degrees): 8.999 2.690 4.488 90.00 101.53 90.00
Space group C2/m (No. 12)
Inequivalent atoms, fractional coordinates:
Ta 0.000 0.000 0.000 x2
Cu 0.242 0.000 0.738 x4
Ni 0.000 0.500 0.500 x2

- Energy relative to the elements: 0.08 eV/f.u.
- Total magnetic moment: 0.000 μB per cell
- Fermi-level density of states: 0.42 states/eV/atom



[8]
Here is a relaxed structure of TaCuNi4 from the Alexandria database. Energies are from PBE-GGA.

Lattice parameters (Å, degrees): 6.208 6.208 8.568 90.00 90.00 90.00
Space group I4_1/a (No. 88, origin choice 2)
Inequivalent atoms, fractional coordinates:
Ta 0.000 0.250 0.125 x4
Cu 0.000 0.250 0.625 x4
Ni 0.130 0.102 0.386 x16

- Energy relative to the elements: 1.92 eV/f.u.
- Total magnetic moment: 0.000 μB per cell
- Relative energy among the computed polymorphs: 0.527 eV per atom
- Fermi-level density of states: 0.68 states/eV/atom



[9]
Here is a relaxed structure of TaCuNi4 from the Alexandria database. Energies are from PBE-GGA.

Lattice parameters (Å, degrees): 6.626 6.626 6.626 90.00 90.00 90.00
Space group F-43m (No. 216)
Inequivalent atoms, fractional coordinates:
Ta 0.000 0.000 0.000 x4
Cu 0.250 0.250 0.250 x4
Ni 0.125 0.125 0.625 x16

- Energy relative to the elements: -1.24 eV/f.u.
- Total magnetic moment: 0.000 μB per cell
- Relative energy among the computed polymorphs: 0.000 eV per atom
- Fermi-level density of states: 0.56 states/eV/atom



[10]
Here is a relaxed structure of TaCu2Ni from the Alexandria database. Energies are from PBE-GGA.

Lattice parameters (Å, degrees): 4.302 4.302 2.919 90.00 90.00 90.00
Space group P4/mmm (No. 123)
Inequivalent atoms, fractional coordinates:
Ta 0.000 0.000 0.000 x1
Cu 0.000 0.500 0.500 x2
Ni 0.500 0.500 0.000 x1

- Energy relative to the elements: 0.95 eV/f.u.
- Total magnetic moment: 0.000 μB per cell
- Fermi-level density of states: 0.69 states/eV/atom



[11]
Here is a relaxed structure of TaCu2Ni8 from the Alexandria database. Energies are from PBE-GGA.

Lattice parameters (Å, degrees): 7.335 9.670 3.819 90.00 90.00 90.00
Space group Cmmm (No. 65)
Inequivalent atoms, fractional coordinates:
Ta 0.000 0.000 0.000 x2
Cu 0.000 0.380 0.500 x4
Ni 0.000 0.251 0.000 x4
Ni 0.164 0.500 0.000 x4
Ni 0.171 0.135 0.500 x8

- Energy relative to the elements: 1.06 eV/f.u.
- Total magnetic moment: 3.280 μB per cell
- Fermi-level density of states: 1.33 states/eV/atom



[12]
Here is a relaxed structure of TaCu4Ni15 from the Alexandria database. Energies are from PBE-GGA.

Lattice parameters (Å, degrees): 3.584 3.584 17.638 90.00 90.00 90.00
Space group P4/mmm (No. 123)
Inequivalent atoms, fractional coordinates:
Ta 0.000 0.000 0.000 x1
Cu 0.000 0.000 0.205 x2
Cu 0.000 0.000 0.401 x2
Ni 0.000 0.500 0.104 x4
Ni 0.000 0.500 0.303 x4
Ni 0.000 0.500 0.500 x2
Ni 0.500 0.500 0.000 x1
Ni 0.500 0.500 0.204 x2
Ni 0.500 0.500 0.402 x2

- Energy relative to the elements: -0.93 eV/f.u.
- Total magnetic moment: 5.745 μB per cell
- Fermi-level density of states: 1.21 states/eV/atom



[13]
Here is a relaxed structure of TaCu2Ni2 from the Alexandria database. Energies are from PBE-GGA.

Lattice parameters (Å, degrees): 6.870 6.870 2.699 90.00 90.00 90.00
Space group P4/mbm (No. 127)
Inequivalent atoms, fractional coordinates:
Ta 0.000 0.000 0.000 x2
Cu 0.123 0.377 0.000 x4
Ni 0.175 0.675 0.500 x4

- Energy relative to the elements: 0.28 eV/f.u.
- Total magnetic moment: 0.000 μB per cell
- Relative energy among the computed polymorphs: 0.000 eV per atom
- Fermi-level density of states: 0.82 states/eV/atom



[14]
Here is a relaxed structure of Ta4Cu3Ni9 from the Alexandria database. Energies are from PBE-GGA.

Lattice parameters (Å, degrees): 4.326 10.396 4.494 90.00 90.00 90.00
Space group Pmm2 (No. 25)
Inequivalent atoms, fractional coordinates:
Ta 0.000 0.000 0.000 x1
Ta 0.000 0.500 0.014 x1
Ta 0.500 0.245 0.687 x2
Cu 0.000 0.250 0.037 x2
Cu 0.500 0.500 0.663 x1
Ni 0.000 0.125 0.513 x2
Ni 0.000 0.374 0.521 x2
Ni 0.500 0.000 0.672 x1
Ni 0.500 0.123 0.184 x2
Ni 0.500 0.375 0.181 x2

- Energy relative to the elements: -4.07 eV/f.u.
- Total magnetic moment: 0.000 μB per cell
- Fermi-level density of states: 0.49 states/eV/atom



[15]
Here is a relaxed structure of TaCu2Ni2 from the Alexandria database. Energies are from PBE-GGA.

Lattice parameters (Å, degrees): 6.787 6.787 2.775 90.00 90.00 90.00
Space group P4/mbm (No. 127)
Inequivalent atoms, fractional coordinates:
Ta 0.000 0.000 0.000 x2
Cu 0.168 0.332 0.500 x4
Ni 0.128 0.628 0.000 x4

- Energy relative to the elements: 0.35 eV/f.u.
- Total magnetic moment: 0.000 μB per cell
- Relative energy among the computed polymorphs: 0.014 eV per atom
- Fermi-level density of states: 1.80 states/eV/atom



[16]
Here is a relaxed structure of TaCu2Ni from the Alexandria database. Energies are from PBE-GGA.

Lattice parameters (Å, degrees): 2.744 3.221 6.005 90.00 90.00 90.00
Space group Pmm2 (No. 25)
Inequivalent atoms, fractional coordinates:
Ta 0.000 0.000 0.000 x1
Cu 0.000 0.000 0.516 x1
Cu 0.500 0.500 0.295 x1
Ni 0.500 0.500 0.743 x1

- Energy relative to the elements: -0.05 eV/f.u.
- Total magnetic moment: 0.000 μB per cell
- Fermi-level density of states: 0.55 states/eV/atom



[17]
Here is a relaxed structure of TaCu5Ni6 from the Alexandria database. Energies are from PBE-GGA.

Lattice parameters (Å, degrees): 4.338 5.256 6.240 90.00 94.05 90.00
Space group P2/m (No. 10)
Inequivalent atoms, fractional coordinates:
Ta 0.000 0.000 0.000 x1
Cu 0.000 0.500 0.000 x1
Cu 0.344 0.500 0.668 x2
Cu 0.349 0.000 0.664 x2
Ni 0.154 0.252 0.335 x4
Ni 0.500 0.256 0.000 x2

- Energy relative to the elements: -0.76 eV/f.u.
- Total magnetic moment: 0.000 μB per cell
- Fermi-level density of states: 0.47 states/eV/atom



[18]
Here is a relaxed structure of TaCuNi3 from the Alexandria database. Energies are from PBE-GGA.

Lattice parameters (Å, degrees): 5.7770 5.7770 4.5733 90.00 90.00 120.00
Space group P6_3/mmc (No. 194)
Inequivalent atoms, fractional coordinates:
Ta 0.3333 0.6667 0.2500 x2
Cu 0.0000 0.0000 0.0000 x2
Ni 0.2007 0.4014 0.7500 x6

- Energy relative to the elements: 0.96 eV/f.u.
- Total magnetic moment: 0.000 μB per cell
- Relative energy among the computed polymorphs: 0.153 eV per atom
- Fermi-level density of states: 0.71 states/eV/atom



[19]
Here is a relaxed structure of TaCu2Ni from the Alexandria database. Energies are from PBE-GGA.

Lattice parameters (Å, degrees): 2.652 3.990 5.213 90.00 104.00 90.00
Space group Pm (No. 6)
Inequivalent atoms, fractional coordinates:
Ta 0.000 0.000 0.000 x1
Cu 0.266 0.000 0.513 x1
Cu 0.660 0.500 0.312 x1
Ni 0.402 0.500 0.789 x1

- Energy relative to the elements: 0.17 eV/f.u.
- Total magnetic moment: 0.000 μB per cell
- Fermi-level density of states: 0.64 states/eV/atom



[20]
Here is a relaxed structure of TaCuNi5 from the Alexandria database. Energies are from PBE-GGA.

Lattice parameters (Å, degrees): 3.683 3.683 6.572 90.00 90.00 90.00
Space group P4/mmm (No. 123)
Inequivalent atoms, fractional coordinates:
Ta 0.000 0.000 0.000 x1
Cu 0.500 0.500 0.500 x1
Ni 0.000 0.500 0.270 x4
Ni 0.500 0.500 0.000 x1

- Energy relative to the elements: -0.24 eV/f.u.
- Total magnetic moment: 0.665 μB per cell
- Fermi-level density of states: 1.44 states/eV/atom



[21]
Here is a relaxed structure of TaCu2Ni from the Alexandria database. Energies are from PBE-GGA.

Lattice parameters (Å, degrees): 2.788 4.326 8.860 90.00 90.00 90.00
Space group Immm (No. 71)
Inequivalent atoms, fractional coordinates:
Ta 0.000 0.000 0.000 x2
Cu 0.000 0.500 0.233 x4
Ni 0.000 0.000 0.500 x2

- Energy relative to the elements: 0.27 eV/f.u.
- Total magnetic moment: 0.000 μB per cell
- Fermi-level density of states: 0.64 states/eV/atom



[22]
Here is a relaxed structure of TaCu2Ni from the Alexandria database. Energies are from PBE-GGA.

Lattice parameters (Å, degrees): 2.7398 2.7398 25.2550 90.00 90.00 120.00
Space group R3m (No. 160, hexagonal axes)
Inequivalent atoms, fractional coordinates:
Ta 0.0000 0.0000 0.0000 x3
Cu 0.0000 0.0000 0.2424 x3
Cu 0.0000 0.0000 0.4970 x3
Ni 0.0000 0.0000 0.7516 x3

- Energy relative to the elements: 0.52 eV/f.u.
- Total magnetic moment: 0.000 μB per cell
- Fermi-level density of states: 0.89 states/eV/atom



[23]
Here is a relaxed structure of TaCuNi from the Alexandria database. Energies are from PBE-GGA.

Lattice parameters (Å, degrees): 7.146 6.306 8.570 90.00 90.00 90.00
Space group Cmce (No. 64)
Inequivalent atoms, fractional coordinates:
Ta 0.198 0.000 0.000 x8
Cu 0.000 0.121 0.276 x8
Ni 0.000 0.177 0.554 x8

- Energy relative to the elements: 1.38 eV/f.u.
- Total magnetic moment: 0.000 μB per cell
- Relative energy among the computed polymorphs: 0.576 eV per atom
- Fermi-level density of states: 0.94 states/eV/atom